Crystalline Be2SiTcPd at its relaxed geometry, computed with PBE.

Geometry as extended XYZ:
```
5
Lattice="4.112 0.000 0.000 0.000 4.393 0.000 0.000 0.000 4.112" Properties=species:S:1:pos:R:3 pbc="T T T"
Tc 0.000 2.197 0.000
Be 2.056 0.000 0.000
Be 0.000 0.000 2.056
Pd 2.056 2.197 2.056
Si 0.000 0.000 0.000
```

Summary:
Formation energy from raw total energies: 0.7365 eV/atom
Total magnetic moment: 0.8 μB/f.u.

=====

Crystalline ScInC2I at its relaxed geometry, computed with PBE.

Geometry as extended XYZ:
```
5
Lattice="-4.131 -0.949 -0.947 -0.023 -4.008 4.117 -1.341 2.964 2.878" Properties=species:S:1:pos:R:3 pbc="T T T"
I 0.000 0.000 0.000
Sc -2.747 -0.997 3.024
C -0.670 1.482 1.439
C -2.065 -0.474 -0.474
In -0.012 -2.004 2.058
```

Summary:
Formation energy from raw total energies: 2.3758 eV/atom
Total magnetic moment: 0.0 μB/f.u.

=====

Crystalline TmNbIr2 at its relaxed geometry, computed with PBE.

Geometry as extended XYZ:
```
4
Lattice="-1.211 -1.742 -3.982 -1.971 -4.055 -0.183 -4.846 -0.109 -1.035" Properties=species:S:1:pos:R:3 pbc="T T T"
Nb -4.014 -2.953 -2.600
Ir -2.265 -1.352 -1.276
Ir -5.763 -4.553 -3.924
Tm 0.000 0.000 0.000
```

Summary:
Polymorph energy (0 for the lowest one): 3.69 kJ/mol of atoms
Total magnetic moment: 0.0 μB/f.u.
Energy relative to the elements: -0.510 eV/atom

=====

Crystalline Cr2C at its relaxed geometry, computed with PBE.

Geometry as extended XYZ:
```
3
Lattice="3.472 0.000 0.000 1.736 3.007 0.000 1.736 1.002 2.835" Properties=species:S:1:pos:R:3 pbc="T T T"
Cr 5.208 3.007 2.126
Cr 1.736 1.002 0.709
C 0.000 0.000 0.000
```

Summary:
Total magnetic moment: 1.6 μB/f.u.
Energy relative to the elements: 0.287 eV/atom

=====

Crystalline NbCoP2S at its relaxed geometry, computed with PBE.

Geometry as extended XYZ:
```
5
Lattice="4.835 0.000 0.000 0.000 4.835 0.000 0.000 0.000 4.707" Properties=species:S:1:pos:R:3 pbc="T T T"
Co 2.417 2.417 2.354
P 2.417 0.000 0.000
P 0.000 2.417 0.000
Nb 0.000 0.000 0.000
S 0.000 0.000 2.354
```

Summary:
Formation energy from raw total energies: 0.7567 eV/atom
Polymorph energy (0 for the lowest one): 28.98 kJ/mol of atoms
Total magnetic moment: 2.6 μB/f.u.

=====

Crystalline ScPaBe2 at its relaxed geometry, computed with PBE.

Geometry as extended XYZ:
```
4
Lattice="3.001 0.000 0.000 0.000 3.001 0.000 0.000 0.000 7.391" Properties=species:S:1:pos:R:3 pbc="T T T"
Sc 1.500 1.500 0.000
Be 0.000 0.000 5.662
Be 0.000 0.000 1.728
Pa 1.500 1.500 3.695
```

Summary:
Polymorph energy (0 for the lowest one): 0.00 kJ/mol of atoms
Total magnetic moment: 0.0 μB/f.u.
Energy relative to the elements: 0.087 eV/atom